No. 1
A geometry-optimized FeNi4W structure, computed with PBE.

The structure belongs to space group F-43m (No. 216); the cell edges are 6.564, 6.564 and 6.564 Å and the angles 90.00°, 90.00° and 90.00°. Symmetry generates all atoms from Fe at (0.000, 0.000, 0.000), Ni at (0.125, 0.125, 0.625) and W at (0.250, 0.250, 0.250).

The calculated density is 11.141 g cm⁻³. Its total energy is -7.391 eV per atom. The calculation puts the formation energy at 0.03 eV per atom. The crystal system is cubic.

No. 2
A geometry-optimized Hf3Np4TiP8 structure, computed with PBE.

The structure belongs to space group R-3m (No. 166, hexagonal axes); the cell edges are 7.5974, 7.5974 and 18.5947 Å and the angles 90.00°, 90.00° and 120.00°. Symmetry generates all atoms from Hf at (0.0000, 0.5000, 0.0000), Np at (0.0000, 0.0000, 0.5000), Np at (0.0000, 0.5000, 0.5000), Ti at (0.0000, 0.0000, 0.0000), P at (0.0000, 0.0000, 0.2548) and P at (0.0059, 0.5029, 0.7439).

The calculated density is 9.535 g cm⁻³. Its total energy is -9.390 eV per atom. The calculation puts the formation energy at -1.09 eV per atom. The crystal system is trigonal.

No. 3
A geometry-optimized Rb2CePaTe4 structure, computed with PBE.

The structure belongs to space group P2/m (No. 10); the cell edges are 7.947, 4.554 and 9.047 Å and the angles 90.00°, 106.78° and 90.00°. Symmetry generates all atoms from Rb at (0.000, 0.000, 0.000), Rb at (0.500, 0.500, 0.000), Ce at (0.000, 0.500, 0.500), Pa at (0.500, 0.000, 0.500), Te at (0.243, 0.000, 0.706) and Te at (0.272, 0.500, 0.296).

The calculated density is 5.576 g cm⁻³. Its total energy is -4.855 eV per atom. As for the uncorrected formation energy: -1113 meV/atom. The crystal system is monoclinic.